(1)
! Ac2Sm5Sn4 | the Alexandria database | PBE-GGA | relaxed; values from VASP
&SYSTEM
  ibrav = 0, nat = 11, ntyp = 3
/
ATOMIC_SPECIES
Sn 118.71 Sn.upf
Ac 227.00 Ac.upf
Sm 150.36 Sm.upf
CELL_PARAMETERS angstrom
-2.607 0.334 -2.481
-4.223 -6.218 3.599
-5.328 6.867 9.155
ATOMIC_POSITIONS angstrom
Sn -6.471 2.226 7.099
Sn -3.492 -3.667 3.176
Sn -8.665 4.650 7.098
Sn -5.687 -1.243 3.175
Ac -7.996 -0.649 5.682
Ac -4.161 1.632 4.592
Sm -6.462 4.664 4.786
Sm -5.695 -3.681 5.488
Sm -2.424 -0.858 2.431
Sm -9.734 1.842 7.843
Sm -1.303 0.167 -1.240
! energy of formation from the pure elements = -2.4 eV/f.u.
! space-group type = No. 12
! final energy = -4.563 eV per atom
! total moment = 0.00 μB/f.u.

***

(2)
! Tb8Tl4PS3 | the Alexandria database | PBE-GGA | relaxed; values from VASP
&SYSTEM
  ibrav = 0, nat = 16, ntyp = 4
/
ATOMIC_SPECIES
Tb 158.93 Tb.upf
Tl 204.38 Tl.upf
S 32.06 S.upf
P 30.97 P.upf
CELL_PARAMETERS angstrom
7.756 0.000 0.000
0.000 9.066 0.929
-3.878 -3.884 5.487
ATOMIC_POSITIONS angstrom
Tb 3.878 0.627 3.207
Tb 1.949 2.601 5.968
Tb 1.929 2.580 0.449
Tb 0.000 0.627 3.192
Tb 0.000 4.554 3.210
Tb 3.878 4.554 3.225
Tb -1.949 2.601 5.968
Tb 5.827 2.580 0.449
Tl 3.878 0.000 0.000
Tl 0.000 0.000 0.000
Tl 1.939 -1.942 2.744
Tl -1.939 -1.942 2.744
S -1.939 2.591 3.208
S 3.878 4.533 0.465
S 1.939 2.591 3.208
P 0.000 4.533 0.465
! space-group type = No. 166
! final energy = -5.161 eV per atom
! total moment = 0.00 μB/f.u.

***

(3)
! POsBr2 | the Alexandria database | PBE-GGA | relaxed; values from VASP
&SYSTEM
  ibrav = 0, nat = 4, ntyp = 3
/
ATOMIC_SPECIES
P 30.97 P.upf
Br 79.90 Br.upf
Os 190.23 Os.upf
CELL_PARAMETERS angstrom
2.983 0.000 0.000
0.000 2.983 0.000
0.000 0.000 10.318
ATOMIC_POSITIONS angstrom
P 1.491 1.491 6.782
Br 1.491 1.491 3.494
Br 0.000 0.000 9.960
Os 0.000 0.000 5.559
! space-group type = No. 99
! final energy = -4.581 eV per atom
! E above lowest polymorph = 477 meV per atom
! total moment = 0.00 μB/f.u.